A | Pa2PdSe6: optimized geometry, PBE-GGA.

Summary:
The total magnetization is 0.0 μB per cell. The value obtained for the density of states at the Fermi level is 0.140 states/eV per atom. The crystal system is monoclinic. As for the space group: No. 14.

Unit cell a=6.413 b=7.484 c=10.727 alpha=90.00 beta=124.27 gamma=90.00
Element x y z (fractional)
Pa (0.192, 0.138, 0.247)
Pa (0.192, 0.362, 0.747)
Pa (0.808, 0.638, 0.253)
Pa (0.808, 0.862, 0.753)
Pd (0.000, 0.000, 0.500)
Pd (0.000, 0.500, 0.000)
Se (0.113, 0.154, 0.940)
Se (0.113, 0.346, 0.440)
Se (0.282, 0.668, 0.943)
Se (0.282, 0.832, 0.443)
Se (0.413, 0.039, 0.752)
Se (0.413, 0.461, 0.252)
Se (0.587, 0.539, 0.748)
Se (0.587, 0.961, 0.248)
Se (0.718, 0.168, 0.557)
Se (0.718, 0.332, 0.057)
Se (0.887, 0.654, 0.560)
Se (0.887, 0.846, 0.060)

***

B | Pa2PdSe6: optimized geometry, PBE-GGA.

Summary:
The total magnetization is 0.0 μB per cell. The value obtained for the density of states at the Fermi level is 0.203 states/eV per atom. The crystal system is tetragonal. As for the space group: No. 136.

Unit cell a=6.713 b=6.713 c=11.560 alpha=90.00 beta=90.00 gamma=90.00
Element x y z (fractional)
Pa (0.000, 0.000, 0.175)
Pa (0.000, 0.000, 0.825)
Pa (0.500, 0.500, 0.325)
Pa (0.500, 0.500, 0.675)
Pd (0.000, 0.000, 0.500)
Pd (0.500, 0.500, 0.000)
Se (0.191, 0.191, 0.000)
Se (0.196, 0.196, 0.349)
Se (0.196, 0.196, 0.651)
Se (0.304, 0.696, 0.151)
Se (0.304, 0.696, 0.849)
Se (0.309, 0.691, 0.500)
Se (0.691, 0.309, 0.500)
Se (0.696, 0.304, 0.151)
Se (0.696, 0.304, 0.849)
Se (0.804, 0.804, 0.349)
Se (0.804, 0.804, 0.651)
Se (0.809, 0.809, 0.000)

***

Unit: meV per atom. Relative energies: A 0; B 128.